Entry 1:
Entry from the Alexandria database: a relaxed Pm12MgAl4N3 crystal (PBE-GGA).

Cell: 8.822 8.822 8.822 Å, 109.47 109.47 109.47°
Positions (direct):
Pm  0.000  0.274  0.274
Pm  0.000  0.726  0.726
Pm  0.250  0.500  0.750
Pm  0.250  0.750  0.500
Pm  0.274  0.000  0.274
Pm  0.274  0.274  0.000
Pm  0.500  0.250  0.750
Pm  0.500  0.750  0.250
Pm  0.726  0.000  0.726
Pm  0.726  0.726  0.000
Pm  0.750  0.250  0.500
Pm  0.750  0.500  0.250
Mg  0.000  0.000  0.000
Al  0.000  0.000  0.500
Al  0.000  0.500  0.000
Al  0.500  0.000  0.000
Al  0.500  0.500  0.500
N  0.000  0.500  0.500
N  0.500  0.000  0.500
N  0.500  0.500  0.000

Summary:
The total magnetic moment comes out at 0.00 μB/f.u. As for the total DFT energy (no corrections): -5.33 eV/atom.

Entry 2:
Entry from the Alexandria database: a relaxed Rb2MgAlN crystal (PBE-GGA).

Cell: 7.353 7.353 3.542 Å, 90.00 90.00 90.00°
Positions (direct):
Rb  0.000  0.500  0.000
Rb  0.500  0.000  0.000
Mg  0.000  0.000  0.500
Al  0.500  0.500  0.000
N  0.500  0.500  0.500

Summary:
The total magnetic moment comes out at 0.00 μB/f.u. As for the total DFT energy (no corrections): -2.88 eV/atom.

Entry 3:
Entry from the Alexandria database: a relaxed Mg2AlReN4 crystal (PBE-GGA).

Cell: 6.657 5.584 5.356 Å, 90.00 90.00 90.00°
Positions (direct):
Mg  0.241  0.153  0.000
Mg  0.259  0.847  0.500
Mg  0.741  0.847  0.500
Mg  0.759  0.153  0.000
Al  0.000  0.373  0.482
Al  0.500  0.627  0.982
Re  0.000  0.649  0.008
Re  0.500  0.351  0.508
N  0.000  0.349  0.836
N  0.000  0.697  0.362
N  0.248  0.215  0.398
N  0.252  0.785  0.898
N  0.500  0.303  0.862
N  0.500  0.651  0.336
N  0.748  0.785  0.898
N  0.752  0.215  0.398

Summary:
The total magnetic moment comes out at 0.00 μB/f.u. As for the total DFT energy (no corrections): -7.16 eV/atom.

Entry 4:
Entry from the Alexandria database: a relaxed MgAlS2N crystal (PBE-GGA).

Cell: 4.888 4.888 3.933 Å, 90.00 90.00 90.00°
Positions (direct):
Mg  0.000  0.000  0.000
Al  0.500  0.500  0.500
S  0.000  0.500  0.000
S  0.500  0.000  0.000
N  0.000  0.000  0.500

Summary:
The total magnetic moment comes out at 2.55 μB/f.u. Its offset from the most stable computed form is 0.748 eV/atom.

Entry 5:
Entry from the Alexandria database: a relaxed MgAlSN2 crystal (PBE-GGA).

Cell: 3.956 3.956 5.164 Å, 90.00 90.00 90.00°
Positions (direct):
Mg  0.000  0.000  0.000
Al  0.500  0.500  0.500
S  0.000  0.000  0.500
N  0.000  0.500  0.000
N  0.500  0.000  0.000

Summary:
The total magnetic moment comes out at 3.20 μB/f.u. Its offset from the most stable computed form is 0.963 eV/atom.

Entry 6:
Entry from the Alexandria database: a relaxed MgAlS2N crystal (PBE-GGA).

Cell: 4.777 4.777 3.628 Å, 90.00 90.00 90.00°
Positions (direct):
Mg  0.000  0.000  0.000
Al  0.500  0.500  0.500
S  0.000  0.500  0.500
S  0.500  0.000  0.500
N  0.500  0.500  0.000

Summary:
The total magnetic moment comes out at 0.00 μB/f.u. Its offset from the most stable computed form is 0.000 eV/atom.

Which formula does entry 6 have?
MgAlS2N